Entry 1:
Here is a relaxed YZrSi3 crystal from Alexandria via LeMat-Bulk. Energies are from PBE.

Properties
- uncorrected formation energy (eV/atom) = 0.2624
- polymorph energy (0 for the lowest one) (meV per atom) = 0.0
- E_tot (eV/f.u.) = -30.0
- space group = Pm-3m, No. 221

Cell: 4.9636 4.9636 4.9636 Å, 90.00 90.00 90.00°
Fractional coordinates of all 5 atoms:
Y: 0.0000 0.0000 0.0000
Zr: 0.5000 0.5000 0.5000
Si: 0.0000 0.5000 0.5000
Si: 0.5000 0.0000 0.5000
Si: 0.5000 0.5000 0.0000

---

Entry 2:
Here is a relaxed MgGaC3 crystal from Alexandria via LeMat-Bulk. Energies are from PBE.

Properties
- polymorph energy (0 for the lowest one) (meV per atom) = 0.0
- E_tot (eV/f.u.) = -20.7
- space group = Pm-3m, No. 221
- formation energy (eV per atom) = 2.32

Cell: 4.0159 4.0159 4.0159 Å, 90.00 90.00 90.00°
Fractional coordinates of all 5 atoms:
Mg: 0.0000 0.0000 0.0000
Ga: 0.5000 0.5000 0.5000
C: 0.0000 0.5000 0.5000
C: 0.5000 0.0000 0.5000
C: 0.5000 0.5000 0.0000

---

Entry 3:
Here is a relaxed NbFe3Co crystal from Alexandria via LeMat-Bulk. Energies are from PBE.

Properties
- polymorph energy (0 for the lowest one) (meV per atom) = 816.8
- E_tot (eV/f.u.) = -33.9
- space group = Pm-3m, No. 221
- formation energy (eV per atom) = 1.74

Cell: 4.4405 4.4405 4.4405 Å, 90.00 90.00 90.00°
Fractional coordinates of all 5 atoms:
Nb: 0.0000 0.0000 0.0000
Fe: 0.0000 0.0000 0.5000
Fe: 0.0000 0.5000 0.0000
Fe: 0.5000 0.0000 0.0000
Co: 0.5000 0.5000 0.5000

---

Entry 4:
Here is a relaxed LiCaMg4 crystal from Alexandria via LeMat-Bulk. Energies are from PBE.

Properties
- polymorph energy (0 for the lowest one) (meV per atom) = 0.0
- E_tot (eV/f.u.) = -10.4
- space group = F-43m, No. 216
- formation energy (eV per atom) = -0.02

Cell: 6.0742 6.0742 6.0742 Å, 60.00 60.00 60.00°
Fractional coordinates of all 6 atoms:
Li: 0.0000 0.0000 0.0000
Ca: 0.2500 0.2500 0.2500
Mg: 0.1240 0.6254 0.6254
Mg: 0.6254 0.1240 0.6254
Mg: 0.6254 0.6254 0.1240
Mg: 0.6254 0.6254 0.6254

---

Entry 5:
Here is a relaxed PdPb2Cl6 crystal from Alexandria via LeMat-Bulk. Energies are from PBE.

Properties
- uncorrected formation energy (eV/atom) = -0.9219
- polymorph energy (0 for the lowest one) (meV per atom) = 0.0
- E_tot (eV/f.u.) = -32.0
- space group = P2_1/c, No. 14

Cell: 9.3255 6.5736 8.0547 Å, 90.00 90.73 90.00°
Fractional coordinates of all 18 atoms:
Pd: 0.0000 0.0000 0.0000
Pd: 0.0000 0.5000 0.5000
Pb: 0.2852 0.0453 0.6277
Pb: 0.2852 0.4547 0.1277
Pb: 0.7148 0.5453 0.8723
Pb: 0.7148 0.9547 0.3723
Cl: 0.0674 0.2056 0.3606
Cl: 0.0674 0.2944 0.8606
Cl: 0.2319 0.6294 0.4710
Cl: 0.2319 0.8706 0.9710
Cl: 0.4446 0.1594 0.3363
Cl: 0.4446 0.3406 0.8363
Cl: 0.5554 0.6594 0.1637
Cl: 0.5554 0.8406 0.6637
Cl: 0.7681 0.1294 0.0290
Cl: 0.7681 0.3706 0.5290
Cl: 0.9326 0.7056 0.1394
Cl: 0.9326 0.7944 0.6394

---

Entry 6:
Here is a relaxed LiNdCu10 crystal from Alexandria via LeMat-Bulk. Energies are from PBE.

Properties
- E_tot (eV/f.u.) = -48.5
- space group = Pmmm, No. 47
- formation energy (eV per atom) = -0.07

Cell: 4.1034 4.9879 8.6418 Å, 90.00 90.00 90.00°
Fractional coordinates of all 12 atoms:
Li: 0.0000 0.0000 0.0000
Nd: 0.0000 0.5000 0.5000
Cu: 0.0000 0.0000 0.3129
Cu: 0.0000 0.0000 0.6871
Cu: 0.0000 0.5000 0.1553
Cu: 0.0000 0.5000 0.8447
Cu: 0.5000 0.0000 0.5000
Cu: 0.5000 0.2513 0.2474
Cu: 0.5000 0.2513 0.7526
Cu: 0.5000 0.5000 0.0000
Cu: 0.5000 0.7487 0.2474
Cu: 0.5000 0.7487 0.7526

---

Entry 7:
Here is a relaxed MgSc2Cl crystal from Alexandria via LeMat-Bulk. Energies are from PBE.

Properties
- uncorrected formation energy (eV/atom) = -0.0995
- polymorph energy (0 for the lowest one) (meV per atom) = 509.5
- E_tot (eV/f.u.) = -16.5
- space group = I4/mmm, No. 139

Cell: 5.4167 5.4167 5.4167 Å, 129.84 129.84 73.66°
Fractional coordinates of all 4 atoms:
Mg: 0.0000 0.0000 0.0000
Sc: 0.2500 0.7500 0.5000
Sc: 0.7500 0.2500 0.5000
Cl: 0.5000 0.5000 0.0000

---

Entry 8:
Here is a relaxed NdSmIn2Se4 crystal from Alexandria via LeMat-Bulk. Energies are from PBE.

Properties
- uncorrected formation energy (eV/atom) = -1.2931
- E_tot (eV/f.u.) = -39.2
- space group = P2/m, No. 10

Cell: 7.3831 4.2620 8.1051 Å, 90.00 107.65 90.00°
Fractional coordinates of all 8 atoms:
Nd: 0.0000 0.0000 0.0000
Sm: 0.5000 0.5000 0.0000
In: 0.0000 0.5000 0.5000
In: 0.5000 0.0000 0.5000
Se: 0.2411 0.5000 0.2151
Se: 0.2650 0.0000 0.7863
Se: 0.7350 0.0000 0.2137
Se: 0.7589 0.5000 0.7849

---

Entry 9:
Here is a relaxed CdAu2Cl crystal from Alexandria via LeMat-Bulk. Energies are from PBE.

Properties
- uncorrected formation energy (eV/atom) = -0.0819
- polymorph energy (0 for the lowest one) (meV per atom) = 175.5
- E_tot (eV/f.u.) = -9.6
- space group = C2/m, No. 12

Cell: 6.3739 6.3739 3.5847 Å, 106.16 106.16 128.83°
Fractional coordinates of all 4 atoms:
Cd: 0.0000 0.0000 0.0000
Au: 0.0000 0.5000 0.0000
Au: 0.5000 0.0000 0.0000
Cl: 0.5000 0.5000 0.0000

---

Entry 10:
Here is a relaxed BeCoTe2 crystal from Alexandria via LeMat-Bulk. Energies are from PBE.

Properties
- uncorrected formation energy (eV/atom) = 0.5633
- E_tot (eV/f.u.) = -14.9
- space group = Cmmm, No. 65

Cell: 3.6758 3.6758 7.3332 Å, 90.00 90.00 121.22°
Fractional coordinates of all 4 atoms:
Be: 0.0000 0.0000 0.0000
Co: 0.0000 0.0000 0.5000
Te: 0.5000 0.5000 0.2455
Te: 0.5000 0.5000 0.7545

---

Entry 11:
Here is a relaxed Na2Tm2ThTe6 crystal from Alexandria via LeMat-Bulk. Energies are from PBE.

Properties
- uncorrected formation energy (eV/atom) = -1.2595
- E_tot (eV/f.u.) = -51.7
- space group = C2/m, No. 12

Cell: 7.6279 7.6279 8.0580 Å, 99.03 99.03 120.05°
Fractional coordinates of all 11 atoms:
Na: 0.1641 0.8359 0.0000
Na: 0.8359 0.1641 0.0000
Tm: 0.3327 0.6673 0.5000
Tm: 0.6673 0.3327 0.5000
Th: 0.0000 0.0000 0.5000
Te: 0.0770 0.4164 0.7308
Te: 0.2658 0.2658 0.2702
Te: 0.4164 0.0770 0.7308
Te: 0.5836 0.9230 0.2692
Te: 0.7342 0.7342 0.7298
Te: 0.9230 0.5836 0.2692

---

Entry 12:
Here is a relaxed ZrSb2Pd crystal from Alexandria via LeMat-Bulk. Energies are from PBE.

Properties
- uncorrected formation energy (eV/atom) = -0.4840
- E_tot (eV/f.u.) = -23.9
- space group = P4/mmm, No. 123

Cell: 4.7728 4.7728 3.6826 Å, 90.00 90.00 90.00°
Fractional coordinates of all 4 atoms:
Zr: 0.0000 0.0000 0.0000
Sb: 0.0000 0.5000 0.5000
Sb: 0.5000 0.0000 0.5000
Pd: 0.5000 0.5000 0.0000